This record from Alexandria describes a relaxed structure of TbMgPa2Rh4. The functional is PBE.

It has space group R-3m (No. 166, hexagonal axes), with a = 4.6250 Å, b = 4.6250 Å, c = 25.6937 Å, α = 90.00°, β = 90.00° and γ = 120.00°. The distinct sites, in fractional coordinates, are Tb at (0.0000, 0.0000, 0.0000), Mg at (0.0000, 0.0000, 0.5000), Pa at (0.0000, 0.0000, 0.2450), Rh at (0.0000, 0.0000, 0.1259) and Rh at (0.0000, 0.0000, 0.3940).

The crystal system is trigonal. For the total energy, the calculation gives -7.53 eV per atom. Its calculated formation energy is -0.70 eV per atom. For the magnetic moment, the calculation gives 0.00 μB/cell. Its volume is 19.8 Å³/atom.

---

This record from Alexandria describes a relaxed structure of Zr3Tc5H12. The functional is PBE.

It has space group Ia-3d (No. 230), with a = 11.1603 Å, b = 11.1603 Å, c = 11.1603 Å, α = 90.00°, β = 90.00° and γ = 90.00°. The distinct sites, in fractional coordinates, are Zr at (0.0000, 0.2500, 0.1250), Tc at (0.0000, 0.0000, 0.0000), Tc at (0.0000, 0.2500, 0.3750) and H at (0.0225, 0.0657, 0.6467).

The crystal system is cubic. For the total energy, the calculation gives -6.04 eV per atom. For the magnetic moment, the calculation gives 0.00 μB/cell. Its volume is 8.7 Å³/atom.